No. 1
Below is an optimized crystal structure of Ta2ZnOs, with properties calculated at the PBE level. Values from VASP.

Calculated values
Symmetry: Cmmm, No. 65

Structure (Quantum ESPRESSO input):
```
&SYSTEM
  ibrav = 0, nat = 4, ntyp = 3
/
ATOMIC_SPECIES
Ta 180.95 Ta.upf
Zn 65.41 Zn.upf
Os 190.23 Os.upf
CELL_PARAMETERS angstrom
2.8220 -3.8123 0.0000
2.8220 3.8123 0.0000
0.0000 0.0000 3.0024
ATOMIC_POSITIONS crystal
Ta 0.0000 0.5000 0.0000
Ta 0.5000 0.0000 0.0000
Zn 0.0000 0.0000 0.5000
Os 0.5000 0.5000 0.5000
```

No. 2
Below is an optimized crystal structure of CeMnPd4, with properties calculated at the PBE level. Values from VASP.

Calculated values
Symmetry: F-43m, No. 216

Structure (Quantum ESPRESSO input):
```
&SYSTEM
  ibrav = 0, nat = 6, ntyp = 3
/
ATOMIC_SPECIES
Ce 140.12 Ce.upf
Mn 54.94 Mn.upf
Pd 106.42 Pd.upf
CELL_PARAMETERS angstrom
0.0000 3.7858 3.7858
3.7858 0.0000 3.7858
3.7858 3.7858 0.0000
ATOMIC_POSITIONS crystal
Ce 0.0000 0.0000 0.0000
Mn 0.2500 0.2500 0.2500
Pd 0.1269 0.6244 0.6244
Pd 0.6244 0.1269 0.6244
Pd 0.6244 0.6244 0.1269
Pd 0.6244 0.6244 0.6244
```

| no. | total moment (μB/cell) | calculated formation energy (eV/atom) |
| --- | --- | --- |
| 1 | 0.00 | -0.088 |
| 2 | 4.49 | -0.427 |